AcSbO3: relaxed, PBE-GGA.

theoretical density = 7.9 g/cm3
formation energy (no corrections) = -1.91 eV/atom
E_tot = -6.53 eV per atom
D(E_F) = 0.61 states/eV per cell

```
AcSbO3
1.0
-0.9628 -3.8946 -1.7221
-1.6223 -1.2969 3.8401
-3.9372 1.4868 -1.1612
O Ac Sb
3 1 1
direct
0.0000 0.5000 0.0000
0.0000 0.0000 0.5000
0.5000 0.0000 0.0000
0.5000 0.5000 0.5000
0.0000 0.0000 0.0000
```

***

Ac3SbO4: relaxed, PBE-GGA.

theoretical density = 7.5 g/cm3
formation energy (no corrections) = -2.77 eV/atom
E_tot = -7.31 eV per atom
D(E_F) = 3.77 states/eV per cell

```
Ac3SbO4
1.0
-2.4957 -2.9402 -1.6968
2.4192 -3.0179 1.6710
-6.1130 0.0399 8.9221
Ac O Sb
3 4 1
direct
0.5000 0.5000 0.7526
0.0000 0.0000 0.0000
0.5000 0.5000 0.2474
0.5000 0.0000 0.8557
0.0000 0.5000 0.1443
0.5000 0.0000 0.1443
0.0000 0.5000 0.8557
0.0000 0.0000 0.5000
```

***

Ac4Sb6O19: relaxed, PBE-GGA.

theoretical density = 7.2 g/cm3
formation energy (no corrections) = -2.10 eV/atom
E_tot = -6.76 eV per atom

```
Ac4Sb6O19
1.0
7.8650 -0.0431 -2.7082
-3.9895 6.7905 -2.7684
0.0715 0.0506 8.3266
Ac Sb O
4 6 19
direct
0.9931 0.6844 0.9716
0.2873 0.3137 0.3081
0.6879 0.9995 0.9971
0.9978 0.0009 0.6885
0.3430 0.5003 0.8437
0.1530 0.6772 0.5255
0.5079 0.1716 0.6624
0.8481 0.3224 0.4751
0.6637 0.5002 0.1631
0.4912 0.8285 0.3369
0.0598 0.3590 0.7555
0.3612 0.7373 0.0463
0.9438 0.7094 0.3138
0.2622 0.6140 0.2992
0.0384 0.7410 0.7233
0.6340 0.6774 0.3791
0.3634 0.3611 0.0037
0.7018 0.3226 0.9554
0.3623 0.0001 0.3626
0.6404 0.0002 0.6401
0.3958 0.6426 0.7025
0.7259 0.0210 0.3506
0.6421 0.6393 0.0019
0.9878 0.0002 0.9876
0.3078 0.2629 0.6248
0.3293 0.9785 0.7043
0.6060 0.2898 0.2332
0.9826 0.2585 0.2978
0.6824 0.3863 0.6463
```

***

Ac2SbO6: relaxed, PBE-GGA.

theoretical density = 7.3 g/cm3
formation energy (no corrections) = -2.38 eV/atom
E_tot = -7.05 eV per atom
excess energy over the best structure of this formula in the dataset = 55 meV/atom
D(E_F) = 6.68 states/eV per cell

```
Ac2SbO6
1.0
-6.2405 -0.2850 -0.2438
-3.6317 -4.6064 2.1624
-3.5264 0.6337 4.9611
O Sb Ac
6 1 2
direct
0.1808 0.6679 0.7941
0.6679 0.1808 0.7941
0.7048 0.7048 0.4143
0.3321 0.8192 0.2059
0.8192 0.3321 0.2059
0.2952 0.2952 0.5857
0.5000 0.5000 0.5000
0.2501 0.2501 0.2381
0.7499 0.7499 0.7619
```

***

AcSbO2: relaxed, PBE-GGA.

theoretical density = 7.2 g/cm3
formation energy (no corrections) = -1.27 eV/atom
E_tot = -5.81 eV per atom
D(E_F) = 1.05 states/eV per cell

```
AcSbO2
1.0
3.9161 0.0000 0.0000
1.9581 3.3915 0.0000
1.9581 1.1305 6.5676
O Sb Ac
2 1 1
direct
0.1184 0.1184 0.6449
0.8816 0.8816 0.3551
0.5000 0.5000 0.5000
0.0000 0.0000 0.0000
```

***

Ac3SbO3: relaxed, PBE-GGA.

theoretical density = 7.5 g/cm3
formation energy (no corrections) = -2.66 eV/atom
E_tot = -7.13 eV per atom
excess energy over the best structure of this formula in the dataset = 0 meV/atom
D(E_F) = 1.98 states/eV per cell

```
Ac3SbO3
1.0
7.3741 0.0000 0.0000
3.6871 6.3862 0.0000
3.6871 2.1287 7.9650
O Ac Sb
6 6 2
direct
0.1337 0.4486 0.6167
0.8663 0.5514 0.3833
0.8009 0.1337 0.6167
0.5514 0.1991 0.3833
0.4486 0.8009 0.6167
0.1991 0.8663 0.3833
0.0984 0.7517 0.6990
0.5490 0.9016 0.3010
0.2483 0.5490 0.3010
0.4510 0.0984 0.6990
0.9016 0.2483 0.3010
0.7517 0.4510 0.6990
0.3336 0.3336 0.9993
0.6664 0.6664 0.0007
```

***

Ac3SbO3: relaxed, PBE-GGA.

theoretical density = 7.4 g/cm3
formation energy (no corrections) = -2.65 eV/atom
E_tot = -7.12 eV per atom
excess energy over the best structure of this formula in the dataset = 10 meV/atom

```
Ac3SbO3
1.0
4.3938 0.0000 0.0000
0.0000 8.6738 -5.0019
0.0000 -0.0031 10.0105
O Ac Sb
6 6 2
direct
0.2500 0.2693 0.2890
0.7500 0.9802 0.2696
0.7500 0.7307 0.7110
0.7500 0.2892 0.0197
0.2500 0.0198 0.7304
0.2500 0.7108 0.9803
0.2500 0.6231 0.7150
0.7500 0.9081 0.6230
0.7500 0.3769 0.2850
0.2500 0.2851 0.9080
0.7500 0.7149 0.0920
0.2500 0.0919 0.3770
0.7500 0.3335 0.6666
0.2500 0.6666 0.3334
```

***

AcSbO: relaxed, PBE-GGA.

theoretical density = 7.5 g/cm3
formation energy (no corrections) = -1.89 eV/atom
E_tot = -6.29 eV per atom
excess energy over the best structure of this formula in the dataset = 329 meV/atom
D(E_F) = 0.78 states/eV per cell

```
AcSbO
1.0
4.6502 0.0000 0.0000
2.3251 4.0272 0.0000
2.3251 1.3424 8.5848
O Sb Ac
2 2 2
direct
0.6996 0.6996 0.9013
0.3004 0.3004 0.0987
0.1506 0.1506 0.5482
0.8494 0.8494 0.4518
0.6092 0.6092 0.1725
0.3908 0.3908 0.8275
```

***

What is the formula in the fifth record? AcSbO2